A plane-wave DFT calculation with GGA-PBE was carried out for a relaxed KInCl2 crystal.

a = 4.539 Å, b = 4.539 Å, c = 7.876 Å
α = 73.29°, β = 73.29°, γ = 59.95°
Fractional coordinates of all 4 atoms:
Cl1 0.502 0.502 0.493
In1 0.750 0.750 0.750
K1 0.250 0.250 0.250
Cl2 0.998 0.998 0.007

**Energy relative to the elements, uncorrected**: -132.5 kJ per mole of atoms
**Space group**: R-3m
**Polymorph energy (0 for the lowest one)**: 11 meV/atom
**Spin magnetization**: 0.00 Bohr magnetons per cell
**Volume**: 33.12 Å³ per atom